First-principles (GGA-PBE) data for CrNi3Se after structural relaxation, as listed in the Alexandria database.

Geometry as POSCAR:
```
CrNi3Se
1.0
4.323 0.000 0.000
0.000 4.323 0.000
0.000 0.000 4.323
Se Ni Cr
1 3 1
Cartesian
0.000 0.000 0.000
2.161 0.000 0.000
0.000 2.161 0.000
0.000 0.000 2.161
2.161 2.161 2.161
```

Computed properties:
space-group type: Pm-3m
V: 80.8 Å³/cell
excess energy over the best structure of this formula in the dataset: 0.0 kJ/mol of atoms
mass density: 6.31 g/cm3
formation energy (no corrections): 2.68 eV per formula unit